No. 1
## Sr (PBE)

Data for an optimized crystal structure of Sr.

Cell and atoms, written as POSCAR:
```
Sr
1.0
0.000 3.472 7.395
2.157 0.000 7.395
2.157 3.472 0.000
Sr
2
direct
0.133 0.133 0.867
0.867 0.867 0.133
```

Values from the calculation:
Formation enthalpy at 0 K, meV/atom: 126
E above lowest polymorph, eV per atom: 0.126
Space-group type: No. 69

---

No. 2
## SrPm2Pb2 (PBE)

Data for an optimized crystal structure of SrPm2Pb2.

Cell and atoms, written as POSCAR:
```
SrPm2Pb2
1.0
0.000 3.561 7.167
3.533 0.000 7.167
3.533 3.561 0.000
Sr Pm Pb
1 2 2
direct
0.000 0.000 0.000
0.250 0.250 0.250
0.750 0.750 0.750
0.393 0.393 0.607
0.607 0.607 0.393
```

Values from the calculation:
Formation enthalpy at 0 K, meV/atom: -328
Space-group type: No. 69

---

No. 3
## ErMnCoGe2 (PBE)

Data for an optimized crystal structure of ErMnCoGe2.

Cell and atoms, written as POSCAR:
```
ErMnCoGe2
1.0
-1.975 1.975 5.211
1.975 -1.975 5.211
1.975 1.975 -5.211
Er Mn Co Ge
1 1 1 2
direct
0.000 0.000 0.000
0.750 0.250 0.500
0.250 0.750 0.500
0.379 0.379 0.000
0.621 0.621 0.000
```

Values from the calculation:
Formation enthalpy at 0 K, meV/atom: -512
Space-group type: No. 119